Entry from Alexandria: In3CuPt3 after structural relaxation (GGA-PBE).

The structure in extended XYZ format:
```
7
Lattice="-0.316 -2.845 -4.763 -3.319 -2.383 3.848 -1.622 5.241 -0.883" Properties=species:S:1:pos:R:3 pbc="T T T"
In -0.170 -1.430 -2.368
In -2.641 -0.002 -0.886
In -0.823 2.612 -0.428
Cu -1.672 -1.201 1.939
Pt -1.829 -2.622 -0.444
Pt -0.981 1.190 -2.809
Pt -2.483 1.421 1.496
```

Calculated values
crystal system = trigonal
calculated formation energy = -291 meV per atom